The following is a meta-GGA SCAN calculation of a crystal of ZnSnOs2Pb relaxed with PBEsol, from the Alexandria database.

Its energy of formation is 9.16 eV/f.u. As for the crystal system: tetragonal. As for the volume: 22.8 Å³ per atom.

Lattice parameters (Å, degrees): 4.9050 4.9050 4.7446 90.00 90.00 90.00
Closest atoms and distances in Å follow each position.
Fractional positions:
Zn1 0.0000 0.0000 0.0000  2 Sn 2.37
Sn1 0.0000 0.0000 0.5000  2 Zn 2.37, 4 Os 2.45
Os1 0.0000 0.5000 0.5000  2 Sn 2.45
Os2 0.5000 0.0000 0.5000  2 Sn 2.45
Pb1 0.5000 0.5000 0.0000  8 Os 3.41, 4 Zn 3.47

=====

The following is a meta-GGA SCAN calculation of a crystal of Ho2ZnHg relaxed with PBEsol, from the Alexandria database.

Its energy of formation is -2.28 eV/f.u. As for the crystal system: cubic. As for the volume: 22.8 Å³ per atom.

Lattice parameters (Å, degrees): 5.0550 5.0550 5.0550 60.00 60.00 60.00
Closest atoms and distances in Å follow each position.
Fractional positions:
Ho1 0.2500 0.2500 0.2500  4 Hg 3.10, 4 Zn 3.10
Ho2 0.7500 0.7500 0.7500  4 Hg 3.10, 4 Zn 3.10
Zn1 0.0000 0.0000 0.0000  8 Ho 3.10
Hg1 0.5000 0.5000 0.5000  8 Ho 3.10

=====

The following is a meta-GGA SCAN calculation of a crystal of CuSiRh2 relaxed with PBEsol, from the Alexandria database.

The value obtained for the uncorrected formation energy is -525 meV per atom. As for the crystal system: tetragonal. As for the volume: 12.4 Å³ per atom.

Lattice parameters (Å, degrees): 4.1426 4.1426 2.8907 90.00 90.00 90.00
Closest atoms and distances in Å follow each position.
Fractional positions:
Cu1 0.0000 0.0000 0.0000  8 Rh 2.53
Si1 0.5000 0.5000 0.0000  8 Rh 2.53
Rh1 0.0000 0.5000 0.5000  4 Cu 2.53, 4 Si 2.53
Rh2 0.5000 0.0000 0.5000  4 Cu 2.53, 4 Si 2.53

=====

no.,total magnetization (Bohr magnetons per cell)
1,1.40
2,0.00
3,0.00